Pa2RhSe (PBE, optimized geometry); ΔE_f (raw) = -20.7 kcal/mol of atoms; DOS at the Fermi energy = 1.365 states/eV/atom; SG = R-3m; raw total energy = -0.307 Ha/atom; spin magnetization = 0.00 Bohr magnetons per cell
1.0
3.891 0.000 0.000
1.946 3.370 0.000
1.946 1.123 7.167
Rh Se Pa
1 1 2
direct
0.500 0.500 0.500 Rh
0.000 0.000 0.000 Se
0.755 0.755 0.735 Pa
0.245 0.245 0.265 Pa


ErSc2Zn2Ga2 (PBE, optimized geometry); DOS at the Fermi energy = 0.637 states/eV/atom; SG = R-3m; raw total energy = -0.150 Ha/atom; ΔH_f (0 K) = -2.78 eV per formula unit; spin magnetization = 0.00 Bohr magnetons per cell
1.0
-3.563 -1.070 -2.290
-1.404 -4.137 -0.050
-6.473 -0.184 5.990
Sc Er Ga Zn
2 1 2 2
direct
0.870 0.870 0.390 Sc
0.130 0.130 0.610 Sc
0.000 0.000 0.000 Er
0.744 0.744 0.769 Ga
0.256 0.256 0.231 Ga
0.595 0.595 0.215 Zn
0.405 0.405 0.785 Zn


Ca2WI (PBE, optimized geometry); ΔE_f (raw) = 17.9 kcal/mol of atoms; DOS at the Fermi energy = 1.323 states/eV/atom; SG = Fm-3m; raw total energy = -0.142 Ha/atom; spin magnetization = 3.70 Bohr magnetons per cell; E above lowest polymorph = 0 meV per atom
1.0
0.000 3.865 3.865
3.865 0.000 3.865
3.865 3.865 0.000
Ca I W
2 1 1
direct
0.250 0.250 0.250 Ca
0.750 0.750 0.750 Ca
0.000 0.000 0.000 I
0.500 0.500 0.500 W


Er6NiPb (PBE, optimized geometry); DOS at the Fermi energy = 1.482 states/eV/atom; SG = P-1; raw total energy = -0.170 Ha/atom; ΔH_f (0 K) = -0.05 eV per formula unit; spin magnetization = 0.01 Bohr magnetons per cell
1.0
6.763 0.010 -0.001
3.376 5.878 0.006
3.363 1.952 6.310
Er Ni Pb
6 1 1
direct
0.030 0.415 0.764 Er
0.416 0.791 0.763 Er
0.210 0.970 0.237 Er
0.790 0.030 0.763 Er
0.584 0.209 0.237 Er
0.970 0.585 0.236 Er
0.000 0.000 0.000 Ni
0.500 0.500 0.500 Pb